<w>
VASP calculation (PBE) on PBrN2 after structural relaxation.

Cell: 5.275 5.275 5.275 Å, 60.00 60.00 60.00°
Positions (direct):
P  0.125  0.125  0.125
P  0.875  0.875  0.875
Br  0.375  0.375  0.375
Br  0.625  0.625  0.625
N  0.000  0.000  0.000
N  0.000  0.000  0.500
N  0.000  0.500  0.000
N  0.500  0.000  0.000

Summary:
- Density: 4.4 g cm⁻³
- Space group: Fd-3m, No. 227

<x>
VASP calculation (PBE) on PBrN2 after structural relaxation.

Cell: 9.442 9.442 9.442 Å, 16.98 16.98 16.98°
Positions (direct):
P  0.000  0.000  0.000
Br  0.500  0.500  0.500
N  0.365  0.365  0.365
N  0.635  0.635  0.635

Summary:
- Density: 3.7 g cm⁻³
- Space group: R-3m, No. 166

List of relative energies, unit meV per atom: <w> 0; <x> 37

<w>
VASP calculation (PBE) on PBrN2 after structural relaxation.

Cell: 5.903 5.903 5.903 Å, 44.02 44.02 44.02°
Positions (direct):
P  0.000  0.000  0.000
Br  0.500  0.500  0.500
N  0.097  0.097  0.097
N  0.903  0.903  0.903

Summary:
- Density: 2.6 g cm⁻³
- Space group: R-3m, No. 166

<x>
VASP calculation (PBE) on PBrN2 after structural relaxation.

Cell: 4.045 4.045 4.045 Å, 60.00 60.00 60.00°
Positions (direct):
P  0.000  0.000  0.000
Br  0.500  0.500  0.500
N  0.250  0.250  0.250
N  0.750  0.750  0.750

Summary:
- Density: 4.9 g cm⁻³
- Space group: Fm-3m, No. 225

List of relative energies, unit meV per atom: <w> 0; <x> 1068

<w>
VASP calculation (PBE) on P3BrN after structural relaxation.

Cell: 4.794 4.794 4.794 Å, 90.00 90.00 90.00°
Positions (direct):
P  0.000  0.000  0.500
P  0.000  0.500  0.000
P  0.500  0.000  0.000
Br  0.000  0.000  0.000
N  0.500  0.500  0.500

Summary:
- Density: 2.8 g cm⁻³
- Space group: Pm-3m, No. 221

<x>
VASP calculation (PBE) on P3BrN after structural relaxation.

Cell: 4.269 4.269 4.269 Å, 90.00 90.00 90.00°
Positions (direct):
P  0.000  0.000  0.500
P  0.000  0.500  0.000
P  0.500  0.000  0.000
Br  0.500  0.500  0.500
N  0.000  0.000  0.000

Summary:
- Density: 4.0 g cm⁻³
- Space group: Pm-3m, No. 221

List of relative energies, unit meV per atom: <w> 1487; <x> 0